First-principles (PBEsol) data for a relaxed Ni2Pt crystal, as listed in Alexandria.

## Properties
mass density: 14.27 Mg/m³
ΔH_f (0 K): 0.0 eV/f.u.
DFT total energy: -77.251 eV per cell
V: 145 Å³/cell

Lattice parameters (Å, degrees): 6.243 2.642 8.820 90.00 91.78 90.00
Fractional positions:
Ni: 0.003 0.250 0.384
Ni: 0.007 0.750 0.138
Ni: 0.313 0.250 0.698
Ni: 0.333 0.750 0.472
Ni: 0.667 0.250 0.528
Ni: 0.687 0.750 0.302
Ni: 0.993 0.250 0.862
Ni: 0.997 0.750 0.616
Pt: 0.315 0.750 0.952
Pt: 0.339 0.250 0.228
Pt: 0.661 0.750 0.772
Pt: 0.685 0.250 0.048